(1)
{"formula": "Cu3AgPd3", "functional": "PBE", "state": "relaxed", "lattice_angstrom": [[6.098, -0.151, -0.002], [-0.137, 6.099, -0.002], [0.001, 0.001, 5.702]], "species": ["Cu", "Cu", "Cu", "Cu", "Cu", "Cu", "Ag", "Ag", "Pd", "Pd", "Pd", "Pd", "Pd", "Pd"], "fractional_positions": [[0.280, 0.280, 0.500], [0.282, 0.718, 0.500], [0.718, 0.282, 0.500], [0.243, 0.757, 0.000], [0.757, 0.243, 0.000], [0.720, 0.720, 0.500], [0.324, 0.324, 0.000], [0.676, 0.676, 0.000], [0.000, 0.000, 0.743], [0.500, 0.000, 0.257], [0.000, 0.500, 0.257], [0.500, 0.000, 0.743], [0.000, 0.500, 0.743], [0.000, 0.000, 0.257]], "vol_a3_per_fu": 106, "de_polymorph_mev_per_atom": 78.5, "dos_ef_per_ev_cell": 9.2, "final_energy_ev_per_cell": -60.9}

(2)
{"formula": "InW", "functional": "PBE", "state": "relaxed", "lattice_angstrom": [[-2.674, -1.037, -9.778], [-3.690, -3.641, -8.773], [-5.382, -1.208, -8.568]], "species": ["In", "In", "W", "W"], "fractional_positions": [[0.995, 0.995, 0.995], [0.755, 0.755, 0.755], [0.504, 0.504, 0.504], [0.246, 0.246, 0.246]], "vol_a3_per_fu": 38, "de_polymorph_mev_per_atom": 189.5, "dos_ef_per_ev_cell": 4.6, "final_energy_ev_per_cell": -29.0}

(3)
{"formula": "YTePt2", "functional": "PBE", "state": "relaxed", "lattice_angstrom": [[4.996, 0.000, 0.000], [0.000, 4.996, 0.000], [2.498, 2.498, 8.210]], "species": ["Y", "Y", "Te", "Te", "Pt", "Pt", "Pt", "Pt"], "fractional_positions": [[0.500, 0.500, 0.000], [0.250, 0.750, 0.500], [0.000, 0.000, 0.000], [0.750, 0.250, 0.500], [0.689, 0.125, 0.250], [0.061, 0.625, 0.250], [0.375, 0.311, 0.750], [0.875, 0.939, 0.750]], "vol_a3_per_fu": 102, "de_polymorph_mev_per_atom": 284.0, "dos_ef_per_ev_cell": 5.0, "final_energy_ev_per_cell": -47.3, "formation_energy_uncorrected_kj_per_mol_fu": -190}